Computed, not measured: Pr2ScIn3 after structural relaxation at the GGA-PBE level of DFT.

Summary:
Electronic total energy ... -4.246 eV/atom
Formation enthalpy at 0 K ... -0.23 eV/atom
Excess energy over the best structure of this formula in the dataset ... 0.240 eV per atom

```
data_Pr2ScIn3
_cell_length_a 12.1768
_cell_length_b 10.1055
_cell_length_c 5.7964
_cell_angle_alpha 90.00
_cell_angle_beta 90.00
_cell_angle_gamma 90.00
_symmetry_space_group_name_H-M 'C m c m'
_symmetry_Int_Tables_number 63
_symmetry_space_group_name_Hall '-C 2c 2'
loop_
_atom_site_label
_atom_site_fract_x
_atom_site_fract_y
_atom_site_fract_z
Pr1 0.1389 0.2138 0.2500
Sc1 0.0000 0.3984 0.7500
In1 0.0000 0.0924 0.7500
In2 0.1990 0.5000 0.0000
```